No. 1
Sr8Pd2N | PBE | relaxed

Cell: 8.093 8.093 7.927 Å, 90.12 90.12 55.76°
Fractional coordinates of all 11 atoms:
Sr  0.182  0.182  0.607
Sr  0.195  0.733  0.732
Sr  0.267  0.805  0.268
Sr  0.297  0.297  0.099
Sr  0.703  0.703  0.901
Sr  0.733  0.195  0.732
Sr  0.805  0.267  0.268
Sr  0.818  0.818  0.393
Pd  0.100  0.100  0.963
Pd  0.900  0.900  0.037
N  0.000  0.000  0.500

Output
E_form (uncorrected): -33.7 kJ/mol of atoms
Distance to the lowest polymorph of the same formula: 24 meV per atom
Space-group type: C2/m

=====

No. 2
ErTiInAg | PBE | relaxed

Cell: 4.974 4.974 4.974 Å, 60.00 60.00 60.00°
Fractional coordinates of all 4 atoms:
Er  0.000  0.000  0.000
Ti  0.500  0.500  0.500
In  0.250  0.250  0.250
Ag  0.750  0.750  0.750

Output
ΔE_f: -0.14 eV per atom
Space-group type: F-43m

=====

No. 3
Na2SmCl4 | PBE | relaxed

Cell: 8.257 8.257 8.257 Å, 141.00 141.00 56.34°
Fractional coordinates of all 7 atoms:
Na  0.132  0.132  0.000
Na  0.868  0.868  0.000
Sm  0.500  0.500  0.000
Cl  0.000  0.500  0.500
Cl  0.316  0.316  0.000
Cl  0.500  0.000  0.500
Cl  0.684  0.684  0.000

Output
E_form (uncorrected): -161.2 kJ/mol of atoms
Space-group type: I4/mmm

=====

No. 4
Hf3RhC | PBE | relaxed

Cell: 6.402 6.402 8.394 Å, 90.00 90.00 147.86°
Fractional coordinates of all 10 atoms:
Hf  0.079  0.921  0.750
Hf  0.359  0.641  0.563
Hf  0.359  0.641  0.937
Hf  0.641  0.359  0.063
Hf  0.641  0.359  0.437
Hf  0.921  0.079  0.250
Rh  0.251  0.749  0.250
Rh  0.749  0.251  0.750
C  0.480  0.520  0.750
C  0.520  0.480  0.250

Output
ΔE_f: -0.32 eV per atom
Distance to the lowest polymorph of the same formula: 436 meV per atom
Space-group type: Cmcm

=====

No. 5
Mg3SiI | PBE | relaxed

Cell: 5.183 5.183 5.183 Å, 90.00 90.00 90.00°
Fractional coordinates of all 5 atoms:
Mg  0.000  0.000  0.500
Mg  0.000  0.500  0.000
Mg  0.500  0.000  0.000
Si  0.000  0.000  0.000
I  0.500  0.500  0.500

Output
E_form (uncorrected): -7.5 kJ/mol of atoms
Distance to the lowest polymorph of the same formula: 0 meV per atom
Space-group type: Pm-3m

=====

No. 6
SrMn2Ag | PBE | relaxed

Cell: 6.031 6.031 6.031 Å, 147.42 129.41 61.47°
Fractional coordinates of all 4 atoms:
Sr  0.000  0.000  0.000
Mn  0.283  0.783  0.500
Mn  0.717  0.217  0.500
Ag  0.500  0.500  0.000

Output
ΔE_f: 0.55 eV per atom
Space-group type: Immm

=====

No. 7
KErPb2 | PBE | relaxed

Cell: 5.805 5.805 3.674 Å, 90.00 90.00 90.00°
Fractional coordinates of all 4 atoms:
K  0.000  0.000  0.000
Er  0.500  0.500  0.000
Pb  0.000  0.500  0.500
Pb  0.500  0.000  0.500

Output
ΔE_f: -0.15 eV per atom
Distance to the lowest polymorph of the same formula: 145 meV per atom
Space-group type: P4/mmm

=====

No. 8
GeAuS2N | PBE | relaxed

Cell: 4.890 4.890 3.591 Å, 90.00 90.00 90.00°
Fractional coordinates of all 5 atoms:
Ge  0.000  0.000  0.000
Au  0.500  0.500  0.500
S  0.000  0.500  0.000
S  0.500  0.000  0.000
N  0.000  0.000  0.500

Output
E_form (uncorrected): 90.7 kJ/mol of atoms
Distance to the lowest polymorph of the same formula: 0 meV per atom
Space-group type: P4/mmm

=====

Density of states at the Fermi level across the listed records, respectively: 0.71, 0.63, 0.29, 0.66, 0.63, 0.93, 0.51, 1.06 states/eV per atom.
Uncorrected energy across the listed records, respectively: -3.273, -4.652, -3.777, -9.605, -2.429, -5.166, -3.419, -3.955 eV/atom.